Entry a
DFT (GGA-PBE) results for an optimized crystal structure of La3Pr2Ho.

a = 3.485 Å, b = 6.940 Å, c = 17.935 Å
α = 90.00°, β = 90.00°, γ = 90.00°
Sites, in units of the cell vectors:
La 0.000 0.000 0.000
La 0.500 0.743 0.824
La 0.000 0.243 0.676
La 0.500 0.500 0.500
La 0.000 0.757 0.324
La 0.500 0.257 0.176
Pr 0.000 0.734 0.654
Pr 0.500 0.766 0.154
Pr 0.000 0.266 0.346
Pr 0.500 0.234 0.846
Ho 0.500 0.500 0.000
Ho 0.000 0.000 0.500

Values from the calculation:
- space group = No. 58
- crystal system = orthorhombic
- theoretical density (g/cm3) = 6.61
- magnetization (μB/cell) = 0.0


Entry b
DFT (GGA-PBE) results for an optimized crystal structure of La3Pr2Ho.

a = 6.429 Å, b = 6.429 Å, c = 12.031 Å
α = 90.00°, β = 90.00°, γ = 120.00°
Sites, in units of the cell vectors:
Ho 0.000 0.000 0.500
Ho 0.000 0.000 0.000
La 0.330 0.330 0.250
La 0.330 0.000 0.750
La 0.000 0.670 0.250
La 0.000 0.330 0.750
La 0.670 0.670 0.750
La 0.670 0.000 0.250
Pr 0.667 0.333 0.500
Pr 0.333 0.667 0.000
Pr 0.667 0.333 0.000
Pr 0.333 0.667 0.500

Values from the calculation:
- space group = No. 193
- crystal system = hexagonal
- theoretical density (g/cm3) = 6.66
- magnetization (μB/cell) = 0.0


The most stable arrangement is entry b, and the next structure is 204 meV/atom less stable.


Entry a
DFT (GGA-PBE) results for an optimized crystal structure of La3Pr4Ho2.

a = 7.263 Å, b = 9.715 Å, c = 9.715 Å
α = 77.34°, β = 82.65°, γ = 82.65°
Sites, in units of the cell vectors:
Pr 0.489 0.556 0.823
Pr 0.011 0.177 0.444
Pr 0.989 0.823 0.556
Pr 0.822 0.251 0.949
Pr 0.322 0.949 0.251
Pr 0.178 0.749 0.051
Pr 0.511 0.444 0.177
Pr 0.678 0.051 0.749
La 0.683 0.762 0.033
La 0.750 0.482 0.518
La 0.317 0.238 0.967
La 0.250 0.518 0.482
La 0.183 0.033 0.762
La 0.817 0.967 0.238
Ho 0.498 0.826 0.557
Ho 0.998 0.557 0.826
Ho 0.002 0.443 0.174
Ho 0.502 0.174 0.443

Values from the calculation:
- space group = No. 15
- crystal system = monoclinic
- theoretical density (g/cm3) = 6.60
- magnetization (μB/cell) = 0.0


Entry b
DFT (GGA-PBE) results for an optimized crystal structure of La3Pr4Ho2.

a = 5.923 Å, b = 10.385 Å, c = 13.434 Å
α = 151.31°, β = 90.00°, γ = 106.57°
Sites, in units of the cell vectors:
Ho 0.254 0.509 0.816
Ho 0.746 0.491 0.184
Pr 0.719 0.438 0.398
Pr 0.856 0.711 0.083
Pr 0.281 0.562 0.602
Pr 0.144 0.289 0.917
La 0.434 0.867 0.551
La 0.566 0.133 0.449
La 0.000 0.000 0.000

Values from the calculation:
- space group = No. 12
- crystal system = monoclinic
- theoretical density (g/cm3) = 6.82
- magnetization (μB/cell) = 0.0


The most stable arrangement is entry b, and the next structure is 131 meV/atom less stable.


Entry a
DFT (GGA-PBE) results for an optimized crystal structure of La7Pr2Ho3.

a = 3.611 Å, b = 6.578 Å, c = 18.477 Å
α = 74.66°, β = 90.00°, γ = 90.00°
Sites, in units of the cell vectors:
La 0.000 0.447 0.835
La 0.000 0.553 0.165
La 0.500 0.228 0.509
La 0.000 0.000 0.000
La 0.500 0.057 0.171
La 0.500 0.943 0.829
La 0.500 0.772 0.491
Pr 0.500 0.390 0.670
Pr 0.500 0.610 0.330
Ho 0.000 0.882 0.662
Ho 0.000 0.118 0.338
Ho 0.500 0.500 0.000

Values from the calculation:
- space group = No. 10
- crystal system = monoclinic
- theoretical density (g/cm3) = 6.86
- magnetization (μB/cell) = 0.0


Entry b
DFT (GGA-PBE) results for an optimized crystal structure of La7Pr2Ho3.

a = 3.673 Å, b = 6.014 Å, c = 19.327 Å
α = 93.83°, β = 90.00°, γ = 90.00°
Sites, in units of the cell vectors:
Pr 0.500 0.304 0.700
Pr 0.500 0.696 0.300
Ho 0.000 0.791 0.634
Ho 0.000 0.209 0.366
Ho 0.500 0.500 0.000
La 0.500 0.834 0.819
La 0.500 0.740 0.467
La 0.000 0.000 0.000
La 0.000 0.335 0.855
La 0.500 0.166 0.181
La 0.000 0.665 0.145
La 0.500 0.260 0.533

Values from the calculation:
- space group = No. 10
- crystal system = monoclinic
- theoretical density (g/cm3) = 6.82
- magnetization (μB/cell) = 0.0


The most stable arrangement is entry a, and the next structure is 29 meV/atom less stable.


Entry a
DFT (GGA-PBE) results for an optimized crystal structure of La2Pr5Ho12.

a = 9.363 Å, b = 12.455 Å, c = 8.707 Å
α = 132.63°, β = 90.00°, γ = 112.08°
Sites, in units of the cell vectors:
Pr 0.705 0.410 0.395
Pr 0.000 0.000 0.500
Pr 0.231 0.461 0.888
Pr 0.769 0.539 0.112
Pr 0.295 0.590 0.605
Ho 0.920 0.840 0.717
Ho 0.080 0.160 0.283
Ho 0.972 0.300 0.057
Ho 0.558 0.115 0.781
Ho 0.673 0.700 0.943
Ho 0.817 0.257 0.597
Ho 0.183 0.743 0.403
Ho 0.440 0.257 0.597
Ho 0.442 0.885 0.219
Ho 0.560 0.743 0.403
Ho 0.028 0.700 0.943
Ho 0.327 0.300 0.057
La 0.679 0.000 0.000
La 0.321 0.000 0.000

Values from the calculation:
- space group = No. 12
- crystal system = monoclinic
- theoretical density (g/cm3) = 7.66
- magnetization (μB/cell) = 0.0


Entry b
DFT (GGA-PBE) results for an optimized crystal structure of La2Pr5Ho12.

a = 6.234 Å, b = 11.351 Å, c = 15.692 Å
α = 142.81°, β = 109.52°, γ = 79.37°
Sites, in units of the cell vectors:
Pr 0.841 0.262 0.815
Pr 0.159 0.738 0.185
Pr 0.421 0.629 0.656
Pr 0.579 0.371 0.344
Pr 0.000 0.000 0.500
Ho 0.528 0.789 0.447
Ho 0.789 0.681 0.921
Ho 0.947 0.418 0.605
Ho 0.633 0.948 0.238
Ho 0.896 0.841 0.708
Ho 0.053 0.582 0.395
Ho 0.211 0.319 0.079
Ho 0.684 0.528 0.132
Ho 0.316 0.472 0.868
Ho 0.472 0.211 0.553
Ho 0.104 0.159 0.292
Ho 0.367 0.052 0.762
La 0.263 0.893 0.973
La 0.737 0.107 0.027

Values from the calculation:
- space group = No. 2
- crystal system = triclinic
- theoretical density (g/cm3) = 7.85
- magnetization (μB/cell) = 0.0


The most stable arrangement is entry b, and the next structure is 107 meV/atom less stable.


Entry a
DFT (GGA-PBE) results for an optimized crystal structure of LaPr6Ho2.

a = 3.508 Å, b = 10.215 Å, c = 10.215 Å
α = 120.00°, β = 90.00°, γ = 90.00°
Each line ends with the local moment (μB).
Sites, in units of the cell vectors:
Ho 0.500 0.667 0.333  -0.01
Ho 0.500 0.333 0.667  -0.01
Pr 0.225 0.658 0.658  0.00
Pr 0.775 0.658 0.000  0.00
Pr 0.775 0.342 0.342  0.00
Pr 0.225 0.342 0.000  0.00
Pr 0.225 0.000 0.342  0.00
Pr 0.775 0.000 0.658  0.00
La 0.000 0.000 0.000  0.14

Values from the calculation:
- space group = No. 162
- crystal system = trigonal
- theoretical density (g/cm3) = 6.88
- magnetization (μB/cell) = 0.3


Entry b
DFT (GGA-PBE) results for an optimized crystal structure of LaPr6Ho2.

a = 3.687 Å, b = 9.008 Å, c = 13.187 Å
α = 132.43°, β = 81.90°, γ = 90.06°
Sites, in units of the cell vectors:
Ho 0.555 0.224 0.889
Ho 0.445 0.776 0.111
La 0.000 0.000 0.000
Pr 0.109 0.446 0.783
Pr 0.333 0.334 0.333
Pr 0.779 0.105 0.441
Pr 0.667 0.666 0.667
Pr 0.891 0.554 0.217
Pr 0.221 0.895 0.559

Values from the calculation:
- space group = No. 2
- crystal system = triclinic
- theoretical density (g/cm3) = 6.88
- magnetization (μB/cell) = 0.0


The most stable arrangement is entry b, and the next structure is 105 meV/atom less stable.


Entry a
DFT (GGA-PBE) results for an optimized crystal structure of La3Pr4Ho5.

a = 7.279 Å, b = 11.519 Å, c = 13.137 Å
α = 151.29°, β = 56.46°, γ = 129.08°
Sites, in units of the cell vectors:
Ho 0.500 0.000 0.500
Ho 0.330 0.665 0.835
Ho 0.670 0.335 0.165
Ho 0.249 0.498 0.999
Ho 0.751 0.502 0.001
Pr 0.084 0.161 0.330
Pr 0.171 0.341 0.170
Pr 0.916 0.839 0.670
Pr 0.829 0.659 0.830
La 0.580 0.161 0.331
La 0.000 0.000 0.500
La 0.420 0.839 0.669

Values from the calculation:
- space group = No. 2
- crystal system = triclinic
- theoretical density (g/cm3) = 7.30
- magnetization (μB/cell) = 0.0


Entry b
DFT (GGA-PBE) results for an optimized crystal structure of La3Pr4Ho5.

a = 6.069 Å, b = 8.685 Å, c = 9.833 Å
α = 105.24°, β = 72.02°, γ = 69.55°
Sites, in units of the cell vectors:
La 0.000 0.500 0.500
La 0.477 0.312 0.734
La 0.523 0.688 0.266
Pr 0.139 0.776 0.947
Pr 0.861 0.224 0.053
Pr 0.175 0.032 0.618
Pr 0.825 0.968 0.382
Ho 0.500 0.500 0.500
Ho 0.627 0.943 0.803
Ho 0.373 0.057 0.197
Ho 0.786 0.544 0.885
Ho 0.214 0.456 0.115

Values from the calculation:
- space group = No. 12
- crystal system = monoclinic
- theoretical density (g/cm3) = 7.13
- magnetization (μB/cell) = 0.0


The most stable arrangement is entry a, and the next structure is 198 meV/atom less stable.


Entry a
DFT (GGA-PBE) results for an optimized crystal structure of LaPr5Ho4.

a = 3.648 Å, b = 11.227 Å, c = 8.841 Å
α = 94.62°, β = 78.13°, γ = 90.01°
Sites, in units of the cell vectors:
Pr 0.500 0.500 0.000
Pr 0.641 0.231 0.717
Pr 0.300 0.367 0.400
Pr 0.359 0.769 0.283
Pr 0.700 0.633 0.600
Ho 0.037 0.746 0.926
Ho 0.177 0.939 0.645
Ho 0.963 0.254 0.074
Ho 0.823 0.061 0.355
La 0.500 0.000 0.000

Values from the calculation:
- space group = No. 12
- crystal system = monoclinic
- theoretical density (g/cm3) = 7.07
- magnetization (μB/cell) = 0.0


Entry b
DFT (GGA-PBE) results for an optimized crystal structure of LaPr5Ho4.

a = 3.663 Å, b = 3.663 Å, c = 25.500 Å
α = 90.00°, β = 90.00°, γ = 90.00°
Sites, in units of the cell vectors:
Pr 0.500 0.500 0.895
Pr 0.500 0.500 0.697
Pr 0.500 0.500 0.303
Pr 0.500 0.500 0.500
Pr 0.500 0.500 0.105
Ho 0.000 0.000 0.401
Ho 0.000 0.000 0.796
Ho 0.000 0.000 0.599
Ho 0.000 0.000 0.204
La 0.000 0.000 0.000

Values from the calculation:
- space group = No. 123
- crystal system = tetragonal
- theoretical density (g/cm3) = 7.29
- magnetization (μB/cell) = 0.0


The most stable arrangement is entry b, and the next structure is 101 meV/atom less stable.


Entry a
DFT (GGA-PBE) results for an optimized crystal structure of La6PrHo3.

a = 5.684 Å, b = 10.077 Å, c = 13.805 Å
α = 90.00°, β = 114.28°, γ = 90.00°
Sites, in units of the cell vectors:
Ho 0.597 0.850 0.097
Ho 0.903 0.350 0.403
Ho 0.000 0.000 0.500
Ho 0.097 0.650 0.597
Ho 0.500 0.500 0.000
Ho 0.403 0.150 0.903
La 0.481 0.183 0.480
La 0.173 0.321 0.673
La 0.222 0.440 0.221
La 0.278 0.940 0.279
La 0.981 0.317 0.980
La 0.827 0.679 0.327
La 0.722 0.060 0.721
La 0.327 0.821 0.827
La 0.519 0.817 0.520
La 0.778 0.560 0.779
La 0.673 0.179 0.173
La 0.019 0.683 0.020
Pr 0.000 0.000 0.000
Pr 0.500 0.500 0.500

Values from the calculation:
- space group = No. 55
- crystal system = orthorhombic
- theoretical density (g/cm3) = 6.77
- magnetization (μB/cell) = 0.0


Entry b
DFT (GGA-PBE) results for an optimized crystal structure of La6PrHo3.

a = 6.484 Å, b = 11.291 Å, c = 11.291 Å
α = 122.50°, β = 90.00°, γ = 90.00°
Sites, in units of the cell vectors:
La 0.672 0.288 0.712
La 0.051 0.715 0.634
La 0.361 0.508 0.929
La 0.861 0.929 0.508
La 0.372 0.971 0.029
La 0.051 0.366 0.285
La 0.361 0.071 0.492
La 0.872 0.029 0.971
La 0.172 0.712 0.288
La 0.551 0.285 0.366
La 0.551 0.634 0.715
La 0.861 0.492 0.071
Pr 0.076 0.183 0.817
Pr 0.576 0.817 0.183
Ho 0.474 0.288 0.052
Ho 0.093 0.388 0.612
Ho 0.974 0.052 0.288
Ho 0.593 0.612 0.388
Ho 0.474 0.948 0.712
Ho 0.974 0.712 0.948

Values from the calculation:
- space group = No. 36
- crystal system = orthorhombic
- theoretical density (g/cm3) = 7.00
- magnetization (μB/cell) = 0.0


The most stable arrangement is entry b, and the next structure is 69 meV/atom less stable.


Entry a
DFT (GGA-PBE) results for an optimized crystal structure of La5Pr2Ho4.

a = 3.624 Å, b = 12.372 Å, c = 9.326 Å
α = 106.99°, β = 101.20°, γ = 90.00°
Sites, in units of the cell vectors:
Pr 0.325 0.713 0.650
Pr 0.675 0.287 0.350
La 0.115 0.517 0.229
La 0.500 0.000 0.000
La 0.166 0.011 0.331
La 0.834 0.989 0.669
La 0.885 0.483 0.771
Ho 0.005 0.750 0.009
Ho 0.995 0.250 0.991
Ho 0.330 0.231 0.661
Ho 0.670 0.769 0.339

Values from the calculation:
- space group = No. 12
- crystal system = monoclinic
- theoretical density (g/cm3) = 6.94
- magnetization (μB/cell) = 0.0


Entry b
DFT (GGA-PBE) results for an optimized crystal structure of La5Pr2Ho4.

a = 3.580 Å, b = 9.341 Å, c = 12.919 Å
α = 111.19°, β = 97.97°, γ = 90.00°
Sites, in units of the cell vectors:
Ho 0.404 0.404 0.808
Ho 0.000 0.317 0.000
Ho 0.596 0.596 0.192
Ho 0.000 0.683 0.000
Pr 0.268 0.268 0.536
Pr 0.732 0.732 0.464
La 0.500 0.000 0.000
La 0.856 0.056 0.712
La 0.144 0.944 0.288
La 0.856 0.657 0.712
La 0.144 0.343 0.288

Values from the calculation:
- space group = No. 71
- crystal system = orthorhombic
- theoretical density (g/cm3) = 6.82
- magnetization (μB/cell) = 0.0


The most stable arrangement is entry a, and the next structure is 19 meV/atom less stable.


Entry a
DFT (GGA-PBE) results for an optimized crystal structure of La2Pr4Ho.

a = 3.719 Å, b = 3.719 Å, c = 20.996 Å
α = 84.92°, β = 84.92°, γ = 60.00°
Sites, in units of the cell vectors:
La 0.406 0.406 0.783
La 0.594 0.594 0.217
Pr 0.691 0.691 0.927
Pr 0.309 0.309 0.073
Pr 0.880 0.880 0.361
Pr 0.120 0.120 0.639
Ho 0.500 0.500 0.500

Values from the calculation:
- space group = No. 166
- crystal system = trigonal
- theoretical density (g/cm3) = 6.68
- magnetization (μB/cell) = 0.0


Entry b
DFT (GGA-PBE) results for an optimized crystal structure of La2Pr4Ho.

a = 6.773 Å, b = 12.370 Å, c = 8.945 Å
α = 123.65°, β = 112.13°, γ = 99.62°
Sites, in units of the cell vectors:
Pr 0.538 0.713 0.971
Pr 0.670 0.177 0.832
Pr 0.983 0.389 0.421
Pr 0.329 0.318 0.160
Pr 0.818 0.896 0.546
Pr 0.158 0.864 0.289
Pr 0.495 0.036 0.189
Pr 0.893 0.682 0.718
La 0.108 0.213 0.634
La 0.169 0.536 0.035
La 0.354 0.750 0.592
La 0.559 0.355 0.615
Ho 0.941 0.034 0.081
Ho 0.734 0.538 0.167

Values from the calculation:
- space group = No. 1
- crystal system = triclinic
- theoretical density (g/cm3) = 6.62
- magnetization (μB/cell) = 0.0


The most stable arrangement is entry a, and the next structure is 78 meV/atom less stable.